(1)
This record from the Alexandria database describes a relaxed DyTl2Cl8 crystal. The functional is PBE.

Results
Formation energy from raw total energies (eV/atom): -1.16
E (eV/cell): -36.836

Cell: 6.824 8.276 8.276 Å, 59.46 82.42 82.42°
Element x y z (fractional)
Tl1 0.354 0.185 0.185
Tl2 0.646 0.815 0.815
Cl1 0.250 0.838 0.838
Cl2 0.214 0.297 0.856
Cl3 0.786 0.144 0.703
Cl4 0.265 0.357 0.357
Cl5 0.786 0.703 0.144
Cl6 0.750 0.162 0.162
Cl7 0.735 0.643 0.643
Cl8 0.214 0.856 0.297
Dy1 0.000 0.000 0.000

(2)
This record from the Alexandria database describes a relaxed AgPCl2O crystal. The functional is PBE.

Results
Energy above the most stable polymorph in this dataset (meV per atom): 999
Formation energy from raw total energies (eV/atom): 1.12
E (eV/cell): -11.312

Cell: 4.773 4.773 5.104 Å, 90.00 90.00 90.00°
Element x y z (fractional)
Cl1 0.000 0.500 0.000
Cl2 0.500 0.000 0.000
O1 0.500 0.500 0.500
P1 0.000 0.000 0.500
Ag1 0.000 0.000 0.000

(3)
This record from the Alexandria database describes a relaxed Sm2IrPbO8 crystal. The functional is PBE.

Results
Formation energy from raw total energies (eV/atom): -1.82
E (eV/cell): -83.455

Cell: 5.094 5.095 6.927 Å, 89.99 90.00 91.24°
Each line ends with the local moment (μB).
Element x y z (fractional)
Sm1 0.500 0.500 0.752  0.01
Sm2 0.500 0.500 0.248  0.01
O1 0.266 0.265 0.000  0.11
O2 0.822 0.179 0.214  0.02
O3 0.178 0.821 0.786  0.02
O4 0.178 0.821 0.214  0.02
O5 0.697 0.697 0.500  0.01
O6 0.734 0.735 0.000  0.11
O7 0.822 0.179 0.786  0.02
O8 0.303 0.303 0.500  0.01
Pb1 0.000 0.000 0.500  -0.01
Ir1 0.000 0.000 0.000  0.54